1.
A plane-wave DFT calculation with PBE was carried out for a relaxed Ti2TcAs2 crystal.

Output
- distance to the lowest polymorph of the same formula (eV/f.u.) = 0.41
- formation enthalpy at 0 K (meV/atom) = -595
- space-group type = No. 127
- magnetization (μB per atom) = 0.00

Lattice parameters (Å, degrees): 6.678 6.678 3.511 90.00 90.00 90.00
Fractional coordinates of all 10 atoms:
As: 0.351 0.851 0.000
As: 0.851 0.649 0.000
As: 0.649 0.149 0.000
As: 0.149 0.351 0.000
Tc: 0.000 0.000 0.000
Tc: 0.500 0.500 0.000
Ti: 0.153 0.653 0.500
Ti: 0.653 0.847 0.500
Ti: 0.847 0.347 0.500
Ti: 0.347 0.153 0.500

2.
A plane-wave DFT calculation with PBE was carried out for a relaxed TiTcAs2 crystal.

Output
- distance to the lowest polymorph of the same formula (eV/f.u.) = 0.05
- formation enthalpy at 0 K (meV/atom) = -529
- space-group type = No. 25
- magnetization (μB per atom) = 0.00

Lattice parameters (Å, degrees): 3.342 3.321 5.894 90.00 90.00 90.00
Fractional coordinates of all 4 atoms:
As: 0.500 0.000 0.653
As: 0.000 0.000 0.150
Tc: 0.500 0.500 0.320
Ti: 0.000 0.500 0.816

3.
A plane-wave DFT calculation with PBE was carried out for a relaxed TiTc2As2 crystal.

Output
- distance to the lowest polymorph of the same formula (eV/f.u.) = 0.30
- formation enthalpy at 0 K (meV/atom) = -110
- space-group type = No. 139
- magnetization (μB per atom) = 0.00

Lattice parameters (Å, degrees): 4.272 4.272 5.557 67.39 67.39 90.00
Fractional coordinates of all 5 atoms:
As: 0.372 0.372 0.256
As: 0.628 0.628 0.744
Tc: 0.750 0.250 0.500
Tc: 0.250 0.750 0.500
Ti: 0.000 0.000 0.000

4.
A plane-wave DFT calculation with PBE was carried out for a relaxed Ti2TcAs2 crystal.

Output
- distance to the lowest polymorph of the same formula (eV/f.u.) = 0.00
- formation enthalpy at 0 K (meV/atom) = -677
- space-group type = No. 36
- magnetization (μB per atom) = 0.00

Lattice parameters (Å, degrees): 3.977 5.980 7.177 90.00 106.09 90.00
Fractional coordinates of all 10 atoms:
Ti: 0.972 0.760 0.945
Ti: 0.828 0.403 0.657
Ti: 0.172 0.903 0.343
Ti: 0.028 0.260 0.055
Tc: 0.359 0.119 0.717
Tc: 0.641 0.619 0.283
As: 0.454 0.488 0.909
As: 0.799 0.865 0.599
As: 0.201 0.365 0.401
As: 0.546 0.988 0.091

5.
A plane-wave DFT calculation with PBE was carried out for a relaxed TiTcAs2 crystal.

Output
- distance to the lowest polymorph of the same formula (eV/f.u.) = 0.75
- formation enthalpy at 0 K (meV/atom) = -354
- space-group type = No. 123
- magnetization (μB per atom) = 0.00

Lattice parameters (Å, degrees): 4.436 4.436 3.105 90.00 90.00 90.00
Fractional coordinates of all 4 atoms:
As: 0.000 0.500 0.000
As: 0.500 0.000 0.000
Tc: 0.500 0.500 0.500
Ti: 0.000 0.000 0.500

6.
A plane-wave DFT calculation with PBE was carried out for a relaxed TiTc2As crystal.

Output
- formation enthalpy at 0 K (meV/atom) = 365
- space-group type = No. 122
- magnetization (μB per atom) = 0.00

Lattice parameters (Å, degrees): 6.831 6.831 5.599 52.41 52.41 90.00
Fractional coordinates of all 8 atoms:
As: 0.000 0.000 0.000
As: 0.750 0.250 0.500
Tc: 0.660 0.125 0.250
Tc: 0.090 0.625 0.250
Tc: 0.375 0.340 0.750
Tc: 0.875 0.910 0.750
Ti: 0.500 0.500 0.000
Ti: 0.250 0.750 0.500

7.
A plane-wave DFT calculation with PBE was carried out for a relaxed TiTcAs2 crystal.

Output
- distance to the lowest polymorph of the same formula (eV/f.u.) = 0.00
- formation enthalpy at 0 K (meV/atom) = -543
- space-group type = No. 44
- magnetization (μB per atom) = 0.00

Lattice parameters (Å, degrees): 3.331 3.392 11.537 90.00 90.00 90.00
Fractional coordinates of all 8 atoms:
As: 0.000 0.500 0.304
As: 0.500 0.000 0.804
As: 0.000 0.000 0.555
As: 0.500 0.500 0.055
Tc: 0.000 0.000 0.972
Tc: 0.500 0.500 0.472
Ti: 0.000 0.500 0.724
Ti: 0.500 0.000 0.224

8.
A plane-wave DFT calculation with PBE was carried out for a relaxed Ti2TcAs crystal.

Output
- formation enthalpy at 0 K (meV/atom) = -597
- space-group type = No. 123
- magnetization (μB per atom) = 0.00

Lattice parameters (Å, degrees): 3.300 3.300 5.644 90.00 90.00 90.00
Fractional coordinates of all 4 atoms:
As: 0.500 0.500 0.000
Tc: 0.500 0.500 0.500
Ti: 0.000 0.000 0.751
Ti: 0.000 0.000 0.249

9.
A plane-wave DFT calculation with PBE was carried out for a relaxed TiTc2As2 crystal.

Output
- distance to the lowest polymorph of the same formula (eV/f.u.) = 0.00
- formation enthalpy at 0 K (meV/atom) = -170
- space-group type = No. 127
- magnetization (μB per atom) = 0.00

Lattice parameters (Å, degrees): 7.146 7.146 3.007 90.00 90.00 90.00
Fractional coordinates of all 10 atoms:
As: 0.345 0.845 0.000
As: 0.845 0.655 0.000
As: 0.655 0.155 0.000
As: 0.155 0.345 0.000
Tc: 0.143 0.643 0.500
Tc: 0.643 0.857 0.500
Tc: 0.857 0.357 0.500
Tc: 0.357 0.143 0.500
Ti: 0.000 0.000 0.000
Ti: 0.500 0.500 0.000

10.
A plane-wave DFT calculation with PBE was carried out for a relaxed TiTcAs2 crystal.

Output
- distance to the lowest polymorph of the same formula (eV/f.u.) = 1.21
- formation enthalpy at 0 K (meV/atom) = -240
- space-group type = No. 166
- magnetization (μB per atom) = 0.00

Lattice parameters (Å, degrees): 3.850 3.850 5.687 70.21 70.21 60.00
Fractional coordinates of all 4 atoms:
As: 0.244 0.244 0.268
As: 0.756 0.756 0.732
Tc: 0.500 0.500 0.500
Ti: 0.000 0.000 0.000

11.
A plane-wave DFT calculation with PBE was carried out for a relaxed TiTcAs2 crystal.

Output
- distance to the lowest polymorph of the same formula (eV/f.u.) = 0.30
- formation enthalpy at 0 K (meV/atom) = -469
- space-group type = No. 99
- magnetization (μB per atom) = 0.00

Lattice parameters (Å, degrees): 3.296 3.296 5.870 90.00 90.00 90.00
Fractional coordinates of all 4 atoms:
As: 0.000 0.000 0.663
As: 0.500 0.500 0.324
Tc: 0.000 0.000 0.129
Ti: 0.500 0.500 0.823

12.
A plane-wave DFT calculation with PBE was carried out for a relaxed Ti2TcAs crystal.

Output
- formation enthalpy at 0 K (meV/atom) = -356
- space-group type = No. 166
- magnetization (μB per atom) = 0.00

Lattice parameters (Å, degrees): 3.121 3.121 7.929 78.65 78.65 60.00
Fractional coordinates of all 4 atoms:
As: 0.000 0.000 0.000
Tc: 0.500 0.500 0.500
Ti: 0.751 0.751 0.746
Ti: 0.249 0.249 0.254